{
  "formula": "BiH3Pb",
  "functional": "GGA-PBE",
  "state": "relaxed",
  "e_tot_ev_per_atom": -2.79,
  "de_polymorph_kj_per_mol_atoms": 9.6,
  "rho_g_cm3": 8.91,
  "space_group": "Pm-3m (221)",
  "dos_at_fermi_per_ev_fu": 3.55,
  "cell": [[4.2749, 0.0000, 0.0000], [0.0000, 4.2749, 0.0000], [0.0000, 0.0000, 4.2749]],
  "species": ["Bi", "H", "H", "H", "Pb"],
  "fractional_positions": [[0.0000, 0.0000, 0.0000], [0.0000, 0.5000, 0.5000], [0.5000, 0.0000, 0.5000], [0.5000, 0.5000, 0.0000], [0.5000, 0.5000, 0.5000]]
}

{
  "formula": "BiHPb2",
  "functional": "GGA-PBE",
  "state": "relaxed",
  "e_tot_ev_per_atom": -3.45,
  "de_polymorph_kj_per_mol_atoms": 0.0,
  "rho_g_cm3": 9.66,
  "space_group": "Cm (8)",
  "dos_at_fermi_per_ev_fu": 0.98,
  "cell": [[3.9728, -2.9354, 0.0000], [3.9728, 2.9354, 0.0000], [-1.8310, 0.0000, 4.6034]],
  "species": ["Bi", "H", "Pb", "Pb"],
  "fractional_positions": [[0.0000, 0.0000, 0.0000], [0.1882, 0.1882, 0.8096], [0.3818, 0.3818, 0.6169], [0.6884, 0.6884, 0.3108]]
}

{
  "formula": "BiH2Pb2",
  "functional": "GGA-PBE",
  "state": "relaxed",
  "e_tot_ev_per_atom": -3.28,
  "de_polymorph_kj_per_mol_atoms": 2.6,
  "rho_g_cm3": 8.16,
  "space_group": "C2/m (12)",
  "dos_at_fermi_per_ev_fu": 1.69,
  "cell": [[4.0855, -2.7987, 0.0000], [4.0855, 2.7987, 0.0000], [-3.3103, 0.0000, 5.5658]],
  "species": ["Bi", "H", "H", "Pb", "Pb"],
  "fractional_positions": [[0.0000, 0.0000, 0.0000], [0.2859, 0.2859, 0.0961], [0.7141, 0.7141, 0.9039], [0.4292, 0.4292, 0.6995], [0.5708, 0.5708, 0.3005]]
}

{
  "formula": "Bi3HPb",
  "functional": "GGA-PBE",
  "state": "relaxed",
  "e_tot_ev_per_atom": -3.44,
  "de_polymorph_kj_per_mol_atoms": 0.0,
  "rho_g_cm3": 10.65,
  "space_group": "Pm-3m (221)",
  "dos_at_fermi_per_ev_fu": 3.03,
  "cell": [[5.0683, 0.0000, 0.0000], [0.0000, 5.0683, 0.0000], [0.0000, 0.0000, 5.0683]],
  "species": ["Bi", "Bi", "Bi", "H", "Pb"],
  "fractional_positions": [[0.0000, 0.0000, 0.5000], [0.0000, 0.5000, 0.0000], [0.5000, 0.0000, 0.0000], [0.0000, 0.0000, 0.0000], [0.5000, 0.5000, 0.5000]]
}